First-principles (PBE) data for crystalline LiBeCoW at its relaxed geometry, as listed in OQMD via LeMat-Bulk.

The structure in CIF format:
```
data_LiBeCoW
_symmetry_space_group_name_H-M 'F -4 3 m'
_symmetry_Int_Tables_number 216
_symmetry_space_group_name_Hall 'F -4 2 3'
_cell_length_a 5.610
_cell_length_b 5.610
_cell_length_c 5.610
_cell_angle_alpha 90.00
_cell_angle_beta 90.00
_cell_angle_gamma 90.00
loop_
_atom_site_label
_atom_site_type_symbol
_atom_site_fract_x
_atom_site_fract_y
_atom_site_fract_z
Li1 Li 0.000 0.000 0.000
Be1 Be 0.000 0.000 0.500
Co1 Co 0.250 0.250 0.750
W1 W 0.250 0.250 0.250
```

Computed properties:
**VASP energy**: -5.938 eV per atom
**Volume**: 44.1 Å³/f.u.
**Energy above the lowest structure with this stoichiometry**: 40.2 kJ/mol of atoms
**Total moment**: 0.07 μB per atom